(1)
SrCe2OsN4: relaxed, PBE.

Unit cell a=3.590 b=11.939 c=12.379 alpha=90.00 beta=90.00 gamma=90.00
Space group Cmcm (No. 63)
Unique sites:
Sr 0.000 0.077 0.250 [4 per cell]
Ce 0.000 0.367 0.049 [8 per cell]
Os 0.000 0.184 0.750 [4 per cell]
N 0.000 0.000 0.000 [4 per cell]
N 0.000 0.254 0.606 [8 per cell]
N 0.000 0.400 0.250 [4 per cell]

Formation energy (no corrections): -0.863 eV/atom
Calculated total energy: -259.9 eV per cell



(2)
Gd2TlP: relaxed, PBE.

Unit cell a=3.9602 b=3.9602 c=24.0774 alpha=90.00 beta=90.00 gamma=120.00
Space group R-3m (No. 166, hexagonal axes)
Unique sites:
Gd 0.0000 0.0000 0.2341 [6 per cell]
Tl 0.0000 0.0000 0.0000 [3 per cell]
P 0.0000 0.0000 0.5000 [3 per cell]

E_form: -3.82 eV per formula unit
Calculated total energy: -119.3 eV per cell